! PBE with a Hubbard U RbCo3O, relaxed; values from VASP
! Offset from the most stable computed form, meV per atom: 1905.2
! Theoretical density, g cm⁻³: 3.7
&SYSTEM
  ibrav = 0, nat = 5, ntyp = 3
/
ATOMIC_SPECIES
Co 58.93 Co.upf
O 16.00 O.upf
Rb 85.47 Rb.upf
CELL_PARAMETERS angstrom
-0.9103 -3.3374 3.6154
-0.6613 -3.5605 -3.4531
4.8757 -1.1060 0.2066
ATOMIC_POSITIONS angstrom
Co -0.3307 -1.7802 -1.7266
Co 2.4378 -0.5530 0.1033
Co -0.4551 -1.6687 1.8077
O 1.6520 -4.0019 0.1845
Rb 0.0000 0.0000 0.0000